Density functional theory data (PBE) for a geometry-optimized La2TcCl2 structure.

Structure (POSCAR):
```
La2TcCl2
1.0
7.6652 0.0000 0.0000
0.0000 7.6652 0.0000
0.0000 0.0000 4.2832
La Cl Tc
4 4 2
Direct
0.6884 0.1884 0.0000
0.3116 0.8116 0.0000
0.1884 0.3116 0.0000
0.8116 0.6884 0.0000
0.8662 0.3662 0.5000
0.3662 0.1338 0.5000
0.6338 0.8662 0.5000
0.1338 0.6338 0.5000
0.5000 0.5000 0.0000
0.0000 0.0000 0.0000
```

Values from the calculation:
Density ... 5895 kg/m³
Relative energy among the computed polymorphs ... 5.0 kJ/mol of formula units
Symmetry ... P4/mbm (127)
Formation energy from raw total energies ... -3.39 eV per formula unit
Raw total energy ... -5.461 eV per atom
Fermi-level density of states ... 0.527 states/eV/atom

Density functional theory data (PBE) for a geometry-optimized Ta3Mo3W2 structure.

Structure (POSCAR):
```
Ta3Mo3W2
1.0
4.5413 0.0000 0.0000
0.0000 4.5639 0.0000
0.0000 0.0000 6.4349
Ta Mo W
3 3 2
Direct
0.5000 0.0000 0.5000
0.0000 0.5000 0.5000
0.0000 0.5000 0.0000
0.5000 0.0000 0.0000
0.5000 0.5000 0.7524
0.5000 0.5000 0.2476
0.0000 0.0000 0.7532
0.0000 0.0000 0.2468
```

Values from the calculation:
Density ... 14920 kg/m³
Symmetry ... Pmmm (47)
Raw total energy ... -11.884 eV per atom
Fermi-level density of states ... 0.547 states/eV/atom

Density functional theory data (PBE) for a geometry-optimized CoTe2Ir structure.

Structure (POSCAR):
```
CoTe2Ir
1.0
0.0000 3.3302 3.3302
3.3302 0.0000 3.3302
3.3302 3.3302 0.0000
Te Ir Co
2 1 1
Direct
0.7500 0.7500 0.7500
0.2500 0.2500 0.2500
0.5000 0.5000 0.5000
0.0000 0.0000 0.0000
```

Values from the calculation:
Density ... 11383 kg/m³
Relative energy among the computed polymorphs ... 162.9 kJ/mol of formula units
Symmetry ... Fm-3m (225)
Formation energy from raw total energies ... 1.81 eV per formula unit
Raw total energy ... -5.111 eV per atom
Fermi-level density of states ... 0.881 states/eV/atom

Density functional theory data (PBE) for a geometry-optimized CsAcPdO2 structure.

Structure (POSCAR):
```
CsAcPdO2
1.0
-3.5941 0.0312 3.9721
2.6161 -5.4571 2.4100
4.5625 4.3029 4.0945
O Cs Ac Pd
4 2 2 2
Direct
0.3144 0.1935 0.0046
0.3144 0.8065 0.4954
0.6856 0.1935 0.5046
0.6856 0.8065 0.9954
0.9849 0.5000 0.2500
0.0151 0.5000 0.7500
0.5024 0.0000 0.7500
0.4976 0.0000 0.2500
0.0000 0.0000 0.5000
0.0000 0.0000 0.0000
```

Values from the calculation:
Density ... 6336 kg/m³
Symmetry ... P2/c (13)
Formation energy from raw total energies ... -8.76 eV per formula unit
Raw total energy ... -5.766 eV per atom